Entry from Alexandria via LeMat-Bulk: a relaxed structure of YTcSe2N (PBE).

## Properties
Spin magnetization ... 0.00 μB/f.u.
E_form (uncorrected) ... -2.49 eV per formula unit
Energy relative to the lowest polymorph listed for this composition ... 0 meV per atom
Space group ... P4/mmm (123)
DOS(E_F) ... 0.757 states/eV/atom
V ... 19.6 Å³ per atom
Total DFT energy (no corrections) ... -6.9237 eV per atom

abc: 5.1032 5.1032 3.7555
angles: 90.00 90.00 90.00
Fractional positions:
Y: 0.0000 0.0000 0.0000
Tc: 0.5000 0.5000 0.5000
Se: 0.0000 0.5000 0.5000
Se: 0.5000 0.0000 0.5000
N: 0.5000 0.5000 0.0000